(1)
DFT (GGA-PBE) results for a geometry-optimized La5YEr structure.

The value obtained for the formation enthalpy at 0 K is 0.92 eV per formula unit.

The structure belongs to space group C2/c (No. 15); the cell edges are 16.670, 6.752 and 11.051 Å and the angles 90.00°, 126.44° and 90.00°. The asymmetric unit holds La at (0.000, 0.010, 0.250), La at (0.091, 0.251, 0.593), La at (0.176, 0.254, 0.093), Y at (0.000, 0.486, 0.250) and Er at (0.250, 0.250, 0.500).

---

(2)
DFT (GGA-PBE) results for a geometry-optimized YAl2Se structure.

For the energy relative to the elements, uncorrected, the calculation gives -2.4 eV/f.u.

The structure belongs to space group Immm (No. 71); the cell edges are 3.951, 4.057 and 10.629 Å and the angles 90.00°, 90.00° and 90.00°. The asymmetric unit holds Y at (0.000, 0.000, 0.000), Al at (0.000, 0.500, 0.247) and Se at (0.000, 0.000, 0.500).

---

(3)
DFT (GGA-PBE) results for a geometry-optimized BeAs2W structure.

The value obtained for the formation enthalpy at 0 K is 1.41 eV per formula unit.

The structure belongs to space group R3m (No. 160, hexagonal axes); the cell edges are 2.9530, 2.9530 and 29.8243 Å and the angles 90.00°, 90.00° and 120.00°. The asymmetric unit holds Be at (0.0000, 0.0000, 0.0000), As at (0.0000, 0.0000, 0.5348), As at (0.0000, 0.0000, 0.7237) and W at (0.0000, 0.0000, 0.2678).

---

(4)
DFT (GGA-PBE) results for a geometry-optimized CoNiRuRh structure.

The value obtained for the formation enthalpy at 0 K is 0.94 eV per formula unit.

The structure belongs to space group F-43m (No. 216); the cell edges are 5.877, 5.877 and 5.877 Å and the angles 90.00°, 90.00° and 90.00°. The asymmetric unit holds Co at (0.000, 0.000, 0.000), Ni at (0.000, 0.000, 0.500), Ru at (0.250, 0.250, 0.750) and Rh at (0.250, 0.250, 0.250).

---

(5)
DFT (GGA-PBE) results for a geometry-optimized Mg2BeCr structure.

The value obtained for the formation enthalpy at 0 K is 1.49 eV per formula unit.

The structure belongs to space group Imm2 (No. 44); the cell edges are 3.164, 4.552 and 8.959 Å and the angles 90.00°, 90.00° and 90.00°. The asymmetric unit holds Mg at (0.000, 0.000, 0.000), Mg at (0.000, 0.500, 0.217), Be at (0.000, 0.500, 0.740) and Cr at (0.000, 0.000, 0.439).

---

(6)
DFT (GGA-PBE) results for a geometry-optimized KMoP3 structure.

The value obtained for the formation enthalpy at 0 K is 0.33 eV per formula unit.

The structure belongs to space group Pm-3m (No. 221); the cell edges are 4.795, 4.795 and 4.795 Å and the angles 90.00°, 90.00° and 90.00°. The asymmetric unit holds K at (0.000, 0.000, 0.000), Mo at (0.500, 0.500, 0.500) and P at (0.000, 0.500, 0.500).

---

(7)
DFT (GGA-PBE) results for a geometry-optimized La4Hg2O structure.

For the energy relative to the elements, uncorrected, the calculation gives -7.4 eV/f.u.

The structure belongs to space group I4/mmm (No. 139); the cell edges are 5.074, 5.074 and 15.734 Å and the angles 90.00°, 90.00° and 90.00°. The asymmetric unit holds La at (0.000, 0.000, 0.175), La at (0.000, 0.500, 0.000), Hg at (0.000, 0.000, 0.370) and O at (0.000, 0.000, 0.000).

---

(8)
DFT (GGA-PBE) results for a geometry-optimized Pr2ThTc structure.

The value obtained for the formation enthalpy at 0 K is -0.26 eV per formula unit.

The structure belongs to space group Pnma (No. 62); the cell edges are 7.374, 10.093 and 6.545 Å and the angles 90.00°, 90.00° and 90.00°. The asymmetric unit holds Pr at (0.173, 0.067, 0.176), Th at (0.056, 0.250, 0.658) and Tc at (0.127, 0.750, 0.992).

---

(9)
DFT (GGA-PBE) results for a geometry-optimized SrAgN2O structure.

For the energy relative to the elements, uncorrected, the calculation gives 2.8 eV/f.u.

The structure belongs to space group P4/mmm (No. 123); the cell edges are 4.095, 4.095 and 4.430 Å and the angles 90.00°, 90.00° and 90.00°. The asymmetric unit holds Sr at (0.000, 0.000, 0.000), Ag at (0.500, 0.500, 0.500), N at (0.000, 0.500, 0.500) and O at (0.500, 0.500, 0.000).

---

(10)
DFT (GGA-PBE) results for a geometry-optimized TbPrScCd structure.

The value obtained for the formation enthalpy at 0 K is -0.21 eV per formula unit.

The structure belongs to space group F-43m (No. 216); the cell edges are 7.675, 7.675 and 7.675 Å and the angles 90.00°, 90.00° and 90.00°. The asymmetric unit holds Tb at (0.000, 0.000, 0.000), Pr at (0.000, 0.000, 0.500), Sc at (0.250, 0.250, 0.250) and Cd at (0.250, 0.250, 0.750).

---

(11)
DFT (GGA-PBE) results for a geometry-optimized Pm8OsRh2 structure.

The value obtained for the formation enthalpy at 0 K is -2.68 eV per formula unit.

The structure belongs to space group Cm (No. 8); the cell edges are 8.363, 12.895 and 6.354 Å and the angles 90.00°, 111.53° and 90.00°. The asymmetric unit holds Pm at (0.000, 0.000, 0.000), Pm at (0.065, 0.369, 0.782), Pm at (0.138, 0.130, 0.565), Pm at (0.200, 0.500, 0.370), Pm at (0.346, 0.204, 0.185), Os at (0.351, 0.000, 0.371) and Rh at (0.354, 0.313, 0.679).

---

(12)
DFT (GGA-PBE) results for a geometry-optimized AsI structure.

For the energy relative to the elements, uncorrected, the calculation gives 1.0 eV/f.u.

The structure belongs to space group P4/mmm (No. 123); the cell edges are 4.165, 4.165 and 3.573 Å and the angles 90.00°, 90.00° and 90.00°. The asymmetric unit holds As at (0.000, 0.000, 0.000) and I at (0.500, 0.500, 0.000).

---

| no. | total moment (μB/cell) |
| --- | --- |
| 1 | 0.00 |
| 2 | 0.00 |
| 3 | 0.00 |
| 4 | 8.05 |
| 5 | 6.60 |
| 6 | 0.00 |
| 7 | 0.00 |
| 8 | 0.00 |
| 9 | 2.46 |
| 10 | 0.05 |
| 11 | 0.00 |
| 12 | 0.00 |